Entry 1:
Here is a crystal of GaRh relaxed with PBEsol from Alexandria. Energies are from meta-GGA SCAN.

Geometry as POSCAR:
```
GaRh
1.0
2.9904 0.0000 0.0000
0.0000 2.9904 0.0000
0.0000 0.0000 2.9904
Ga Rh
1 1
Cartesian
1.4952 1.4952 1.4952
0.0000 0.0000 0.0000
```

**Formation enthalpy at 0 K**: -69.17 kJ/mol of atoms
**E**: -25.776 eV per atom
**N(E_F)**: 0.275 states/eV/atom

Entry 2:
Here is a crystal of ScGa2Rh2 relaxed with PBEsol from Alexandria. Energies are from meta-GGA SCAN.

Geometry as POSCAR:
```
ScGa2Rh2
1.0
-0.2970 2.7637 2.3365
-3.0611 1.0588 -1.6414
-1.5683 -5.4501 3.4256
Rh Ga Sc
2 2 1
Cartesian
-2.5541 -2.7834 2.9677
-2.3722 1.1558 1.1530
-1.7721 -0.3876 3.0548
-3.1542 -1.2401 1.0659
0.0000 0.0000 0.0000
```

**Formation enthalpy at 0 K**: -69.64 kJ/mol of atoms
**E**: -23.616 eV per atom
**N(E_F)**: 0.330 states/eV/atom

Entry 3:
Here is a crystal of GaRhSe2 relaxed with PBEsol from Alexandria. Energies are from meta-GGA SCAN.

Geometry as POSCAR:
```
GaRhSe2
1.0
3.4924 0.0000 0.0000
1.7462 3.0245 0.0000
1.7462 1.0082 7.6627
Rh Ga Se
1 1 2
Cartesian
0.0000 0.0000 0.0000
3.4924 2.0164 3.8314
5.2387 3.0245 2.3125
1.7462 1.0082 5.3502
```

**E**: -22.466 eV per atom
**Raw formation energy**: 0.1026 eV per atom
**N(E_F)**: 0.820 states/eV/atom

Entry 4:
Here is a crystal of Ga3SiRh relaxed with PBEsol from Alexandria. Energies are from meta-GGA SCAN.

Geometry as POSCAR:
```
Ga3SiRh
1.0
4.5971 0.0000 0.0000
0.0000 4.5971 0.0000
0.0000 0.0000 4.5971
Ga Si Rh
3 1 1
Cartesian
0.0000 0.0000 2.2986
2.2986 0.0000 0.0000
0.0000 2.2986 0.0000
0.0000 0.0000 0.0000
2.2986 2.2986 2.2986
```

**E**: -17.674 eV per atom
**Raw formation energy**: 0.8910 eV per atom
**N(E_F)**: 0.795 states/eV/atom

Entry 5:
Here is a crystal of GaSi2Rh relaxed with PBEsol from Alexandria. Energies are from meta-GGA SCAN.

Geometry as POSCAR:
```
GaSi2Rh
1.0
3.7124 0.0000 0.0000
0.0000 3.7124 0.0000
-1.8562 -1.8562 8.5313
Si Rh Ga
4 2 2
Cartesian
0.9281 0.9229 6.3984
0.9333 2.7843 2.1328
2.7791 0.9281 2.1328
-0.9281 -0.9229 6.3984
0.0000 1.8562 4.2656
0.0000 0.0000 0.0000
1.8562 0.0000 4.2656
1.8562 1.8562 0.0000
```

**E**: -17.580 eV per atom
**Raw formation energy**: -0.0427 eV per atom
**N(E_F)**: 0.403 states/eV/atom

Entry 6:
Here is a crystal of SmGaRh2 relaxed with PBEsol from Alexandria. Energies are from meta-GGA SCAN.

Geometry as POSCAR:
```
SmGaRh2
1.0
-1.3714 3.2458 -2.8729
-1.1517 -1.0769 -4.2642
-4.3529 0.1964 -1.2976
Rh Sm Ga
2 1 1
Cartesian
-1.7190 0.5913 -2.1087
-5.1570 1.7740 -6.3261
0.0000 0.0000 0.0000
-3.4380 1.1826 -4.2174
```

**Formation enthalpy at 0 K**: -74.32 kJ/mol of atoms
**E**: -32.853 eV per atom
**N(E_F)**: 0.163 states/eV/atom

Entry 7:
Here is a crystal of GaSn3Rh relaxed with PBEsol from Alexandria. Energies are from meta-GGA SCAN.

Geometry as POSCAR:
```
GaSn3Rh
1.0
5.0385 0.0000 0.0000
0.0000 5.0385 0.0000
0.0000 0.0000 5.0385
Ga Sn Rh
1 3 1
Cartesian
0.0000 0.0000 0.0000
2.5193 0.0000 0.0000
0.0000 2.5193 0.0000
0.0000 0.0000 2.5193
2.5193 2.5193 2.5193
```

**Formation enthalpy at 0 K**: 96.08 kJ/mol of atoms
**E**: -30.580 eV per atom
**N(E_F)**: 0.693 states/eV/atom

Entry 8:
Here is a crystal of Ga3SnRh relaxed with PBEsol from Alexandria. Energies are from meta-GGA SCAN.

Geometry as POSCAR:
```
Ga3SnRh
1.0
4.7303 0.0000 0.0000
0.0000 4.7303 0.0000
0.0000 0.0000 4.7303
Sn Rh Ga
1 1 3
Cartesian
2.3651 2.3651 2.3651
0.0000 0.0000 0.0000
2.3651 0.0000 0.0000
0.0000 0.0000 2.3651
0.0000 2.3651 0.0000
```

**Formation enthalpy at 0 K**: -4.78 kJ/mol of atoms
**E**: -23.796 eV per atom
**N(E_F)**: 0.542 states/eV/atom

Entry 9:
Here is a crystal of GaSnRh3 relaxed with PBEsol from Alexandria. Energies are from meta-GGA SCAN.

Geometry as POSCAR:
```
GaSnRh3
1.0
-2.6297 3.5366 -0.6533
-2.2149 -2.2302 -3.1576
-2.8335 -1.5390 3.0745
Rh Sn Ga
3 1 1
Cartesian
-1.1074 -1.1151 -1.5788
-1.3149 1.7683 -0.3267
-1.4168 -0.7695 1.5373
-3.8390 -0.1163 -0.3682
0.0000 0.0000 0.0000
```

**Formation enthalpy at 0 K**: 38.40 kJ/mol of atoms
**E**: -30.318 eV per atom
**N(E_F)**: 0.521 states/eV/atom

Entry 10:
Here is a crystal of SrGa2Rh2 relaxed with PBEsol from Alexandria. Energies are from meta-GGA SCAN.

Geometry as POSCAR:
```
SrGa2Rh2
1.0
-2.5206 3.5020 -0.0579
-1.7537 -1.2002 3.7556
5.6578 1.4239 0.6180
Ga Rh Sr
2 2 1
Cartesian
-1.1874 1.8455 2.5144
2.5708 1.8802 1.8013
0.8834 0.6873 3.1112
0.5000 3.0384 1.2045
0.0000 0.0000 0.0000
```

**Formation enthalpy at 0 K**: -77.11 kJ/mol of atoms
**E**: -25.301 eV per atom
**N(E_F)**: 0.252 states/eV/atom

Entry 11:
Here is a crystal of SrGa2Rh2 relaxed with PBEsol from Alexandria. Energies are from meta-GGA SCAN.

Geometry as POSCAR:
```
SrGa2Rh2
1.0
5.6526 0.0000 0.0000
2.8263 5.2093 0.0000
2.8263 0.0000 6.7052
Ga Rh Sr
4 4 2
Cartesian
7.0657 0.6967 3.3526
2.8263 3.3014 0.0000
7.0657 4.5126 3.3526
5.6526 1.9080 0.0000
7.0657 2.6047 4.8905
2.8263 0.0000 5.1672
5.6526 0.0000 1.5379
7.0657 2.6047 1.8147
2.8263 0.0000 0.0000
4.2394 2.6047 3.3526
```

**Formation enthalpy at 0 K**: -78.62 kJ/mol of atoms
**E**: -25.317 eV per atom
**N(E_F)**: 0.021 states/eV/atom

Entry 12:
Here is a crystal of Sr3GaRh relaxed with PBEsol from Alexandria. Energies are from meta-GGA SCAN.

Geometry as POSCAR:
```
Sr3GaRh
1.0
-1.7009 -3.4638 4.2388
1.2910 -4.5673 -3.2142
5.3197 0.0009 2.1354
Sr Rh Ga
3 1 1
Cartesian
2.6598 0.0005 1.0677
-0.8505 -1.7319 2.1194
0.6455 -2.2837 -1.6071
2.4549 -4.0151 1.5800
0.0000 0.0000 0.0000
```

**Formation enthalpy at 0 K**: 49.36 kJ/mol of atoms
**E**: -22.877 eV per atom
**N(E_F)**: 1.352 states/eV/atom

| no. | theoretical density (g/cm³) |
| --- | --- |
| 1 | 10.72 |
| 2 | 8.05 |
| 3 | 6.78 |
| 4 | 5.81 |
| 5 | 6.46 |
| 6 | 10.64 |
| 7 | 6.86 |
| 8 | 6.76 |
| 9 | 9.33 |
| 10 | 7.70 |
| 11 | 7.28 |
| 12 | 3.84 |